Entry 1:
VASP calculation (PBE) on a geometry-optimized GaBPdRh2 structure.

Calculated values
ΔH_f (0 K) ... -0.340 eV/atom
Total energy ... -31.3 eV/cell
M_tot ... 0.000 μB per atom

a = 4.0956 Å, b = 4.0956 Å, c = 4.1172 Å
α = 90.00°, β = 90.00°, γ = 90.00°
Last column: nearest neighbours and their distance in Å.
Sites, in units of the cell vectors:
Ga 0.0000 0.0000 0.0000  4 Pd 2.90, 8 Rh 2.90
B 0.5000 0.5000 0.5000  4 Rh 2.05, 2 Pd 2.06
Pd 0.5000 0.5000 0.0000  2 B 2.06
Rh 0.0000 0.5000 0.5000  2 B 2.05
Rh 0.5000 0.0000 0.5000  2 B 2.05


Entry 2:
VASP calculation (PBE) on a geometry-optimized ScGaBPd2 structure.

Calculated values
ΔH_f (0 K) ... -0.327 eV/atom
Total energy ... -28.1 eV/cell
M_tot ... 0.000 μB per atom

a = 4.3486 Å, b = 4.3486 Å, c = 4.0617 Å
α = 90.00°, β = 90.00°, γ = 90.00°
Last column: nearest neighbours and their distance in Å.
Sites, in units of the cell vectors:
Sc 0.0000 0.0000 0.0000  8 Pd 2.98, 4 Ga 3.07
Ga 0.5000 0.5000 0.0000  2 B 2.03
B 0.5000 0.5000 0.5000  2 Ga 2.03, 4 Pd 2.17
Pd 0.0000 0.5000 0.5000  2 B 2.17
Pd 0.5000 0.0000 0.5000  2 B 2.17


Entry 3:
VASP calculation (PBE) on a geometry-optimized GaSiBPd2 structure.

Calculated values
Total energy ... -24.7 eV/cell
M_tot ... 0.000 μB per atom

a = 4.3327 Å, b = 4.3327 Å, c = 3.9700 Å
α = 90.00°, β = 90.00°, γ = 90.00°
Last column: nearest neighbours and their distance in Å.
Sites, in units of the cell vectors:
Ga 0.0000 0.0000 0.0000  2 B 1.99
Si 0.5000 0.5000 0.0000  8 Pd 2.94, 4 Ga 3.06
B 0.0000 0.0000 0.5000  2 Ga 1.99, 4 Pd 2.17
Pd 0.0000 0.5000 0.5000  2 B 2.17
Pd 0.5000 0.0000 0.5000  2 B 2.17


Entry 4:
VASP calculation (PBE) on a geometry-optimized Sm2GaBPd6 structure.

Calculated values
ΔH_f (0 K) ... -0.708 eV/atom
Total energy ... -114.8 eV/cell
M_tot ... 0.000 μB per atom

a = 5.7266 Å, b = 8.7273 Å, c = 7.2809 Å
α = 90.00°, β = 90.00°, γ = 90.00°
Last column: nearest neighbours and their distance in Å.
Sites, in units of the cell vectors:
Sm 0.2500 0.0331 0.2148  9 Pd 2.98-3.30
Sm 0.2500 0.4669 0.2148  9 Pd 2.98-3.30
Sm 0.7500 0.5331 0.7852  9 Pd 2.98-3.30
Sm 0.7500 0.9669 0.7852  9 Pd 2.98-3.30
Ga 0.2500 0.7500 0.8230  6 Pd 2.50-2.62
Ga 0.7500 0.2500 0.1770  6 Pd 2.50-2.62
B 0.2500 0.2500 0.6852  6 Pd 2.09-2.12
B 0.7500 0.7500 0.3148  6 Pd 2.09-2.12
Pd 0.0044 0.2500 0.8976  1 B 2.09
Pd 0.0109 0.7500 0.5160  1 B 2.09
Pd 0.2500 0.0087 0.6521  1 B 2.12
Pd 0.2500 0.4913 0.6521  1 B 2.12
Pd 0.4891 0.7500 0.5160  1 B 2.09
Pd 0.4956 0.2500 0.8976  1 B 2.09
Pd 0.5044 0.7500 0.1024  1 B 2.09
Pd 0.5109 0.2500 0.4840  1 B 2.09
Pd 0.7500 0.5087 0.3479  1 B 2.12
Pd 0.7500 0.9913 0.3479  1 B 2.12
Pd 0.9891 0.2500 0.4840  1 B 2.09
Pd 0.9956 0.7500 0.1024  1 B 2.09


Q: M_tot of number 2 (ScGaBPd2)?
A: 0.000 μB per atom